# 1
# Li2MnAl | the Alexandria database | GGA-PBEsol | relaxed
# **Electronic total energy**: -34.21 eV for the cell shown
# **E_form**: 170.3 meV per atom
# **Volume**: 15.1 Å³/atom
data_Li2MnAl
_space_group_name_H-M_alt 'C 1 m 1'
_space_group_IT_number 8
_cell_length_a 8.922
_cell_length_b 2.685
_cell_length_c 5.067
_cell_angle_alpha 90.00
_cell_angle_beta 96.88
_cell_angle_gamma 90.00
loop_
_space_group_symop_operation_xyz
'x,y,z'
'x,-y,z'
'x+1/2,y+1/2,z'
'x+1/2,-y+1/2,z'
loop_
_atom_site_label
_atom_site_type_symbol
_atom_site_fract_x
_atom_site_fract_y
_atom_site_fract_z
Li1 Li 0.000 0.000 0.000
Li2 Li 0.241 0.000 0.766
Mn1 Mn 0.488 0.000 0.478
Al1 Al 0.248 0.500 0.283

---

# 2
# LiMnAl | the Alexandria database | GGA-PBEsol | relaxed
# **Electronic total energy**: -56.05 eV for the cell shown
# **E_form**: 602.2 meV per atom
# **Volume**: 15.6 Å³/atom
data_LiMnAl
_space_group_name_H-M_alt 'F -4 3 m'
_space_group_IT_number 216
_space_group_name_Hall 'F -4 2 3'
_cell_length_a 5.724
_cell_length_b 5.724
_cell_length_c 5.724
_cell_angle_alpha 90.00
_cell_angle_beta 90.00
_cell_angle_gamma 90.00
loop_
_atom_site_label
_atom_site_type_symbol
_atom_site_fract_x
_atom_site_fract_y
_atom_site_fract_z
Li1 Li 0.000 0.000 0.000
Mn1 Mn 0.250 0.250 0.250
Al1 Al 0.250 0.250 0.750

---

# 3
# Li2MnAl | the Alexandria database | GGA-PBEsol | relaxed
# **Electronic total energy**: -17.46 eV for the cell shown
# **E_form**: 80.3 meV per atom
# **Volume**: 15.2 Å³/atom
data_Li2MnAl
_space_group_name_H-M_alt 'P 4 m m'
_space_group_IT_number 99
_cell_length_a 2.757
_cell_length_b 2.757
_cell_length_c 8.000
_cell_angle_alpha 90.00
_cell_angle_beta 90.00
_cell_angle_gamma 90.00
loop_
_space_group_symop_operation_xyz
'x,y,z'
'-y,x,z'
'-x,-y,z'
'y,-x,z'
'-x,y,z'
'y,x,z'
'x,-y,z'
'-y,-x,z'
loop_
_atom_site_label
_atom_site_type_symbol
_atom_site_fract_x
_atom_site_fract_y
_atom_site_fract_z
Li1 Li 0.000 0.000 0.000
Li2 Li 0.500 0.500 0.290
Mn1 Mn 0.000 0.000 0.537
Al1 Al 0.500 0.500 0.745